VASP calculation (PBE-GGA) on a relaxed CaOsPt3 crystal.

Calculated values
* space group: Pm-3m, No. 221
* D(E_F): 4.6 states/eV per cell
* offset from the most stable computed form: 0 meV/atom
* calculated total energy: -5.873 eV per atom

Lattice parameters (Å, degrees): 4.8799 4.8799 4.8799 90.00 90.00 90.00
With the nearest neighbours (Å) after each atom.
Positions (direct):
Os: 0.0000 0.0000 0.0000  6 Pt 2.44
Pt: 0.0000 0.0000 0.5000  2 Os 2.44
Pt: 0.5000 0.0000 0.0000  2 Os 2.44
Pt: 0.0000 0.5000 0.0000  2 Os 2.44
Ca: 0.5000 0.5000 0.5000  12 Pt 3.45